Record 1
This record from the Alexandria database describes an optimized crystal structure of AcNd3Y2Se6. The functional is PBE.

Values from the calculation:
Calculated volume, Å³/f.u.: 320.1
Total magnetization, Bohr magnetons per cell: 0.00
Symmetry: No. 12
VASP energy, eV/atom: -6.160

Lattice parameters (Å, degrees): 7.327 7.327 7.322 99.64 99.64 120.17
Fractional coordinates of all 12 atoms:
Ac1 0.000 0.000 0.000
Nd1 0.158 0.842 0.500
Nd2 0.500 0.500 0.500
Nd3 0.842 0.158 0.500
Y1 0.333 0.667 0.000
Y2 0.667 0.333 0.000
Se1 0.083 0.433 0.249
Se2 0.271 0.271 0.761
Se3 0.433 0.083 0.249
Se4 0.567 0.917 0.751
Se5 0.729 0.729 0.239
Se6 0.917 0.567 0.751



Record 2
This record from the Alexandria database describes an optimized crystal structure of AcNdYSe3. The functional is PBE.

Values from the calculation:
Calculated volume, Å³/f.u.: 166.3
Total magnetization, Bohr magnetons per cell: 0.00
Symmetry: No. 11
VASP energy, eV/atom: -6.099

Lattice parameters (Å, degrees): 7.383 4.190 11.030 90.00 102.98 90.00
Fractional coordinates of all 12 atoms:
Ac1 0.159 0.250 0.195
Ac2 0.841 0.750 0.805
Nd1 0.263 0.750 0.557
Nd2 0.737 0.250 0.443
Y1 0.379 0.250 0.869
Y2 0.621 0.750 0.131
Se1 0.052 0.250 0.668
Se2 0.232 0.750 0.996
Se3 0.450 0.750 0.342
Se4 0.550 0.250 0.658
Se5 0.768 0.250 0.004
Se6 0.948 0.750 0.332



Record 3
This record from the Alexandria database describes an optimized crystal structure of AcNdSi. The functional is PBE.

Values from the calculation:
Calculated volume, Å³/f.u.: 95.6
Total magnetization, Bohr magnetons per cell: 0.00
Symmetry: No. 156
VASP energy, eV/atom: -5.019

Lattice parameters (Å, degrees): 4.874 4.874 4.646 90.00 90.00 120.00
Fractional coordinates of all 3 atoms:
Ac1 0.000 0.000 0.000
Nd1 0.667 0.333 0.529
Si1 0.333 0.667 0.377



Record 4
This record from the Alexandria database describes an optimized crystal structure of AcNdSi. The functional is PBE.

Values from the calculation:
Calculated volume, Å³/f.u.: 97.9
Total magnetization, Bohr magnetons per cell: 0.00
Symmetry: No. 63
VASP energy, eV/atom: -5.011

Lattice parameters (Å, degrees): 4.120 13.965 6.807 90.00 90.00 90.00
Fractional coordinates of all 12 atoms:
Ac1 0.000 0.168 0.250
Ac2 0.000 0.832 0.750
Ac3 0.500 0.332 0.750
Ac4 0.500 0.668 0.250
Nd1 0.000 0.090 0.750
Nd2 0.000 0.910 0.250
Nd3 0.500 0.410 0.250
Nd4 0.500 0.590 0.750
Si1 0.000 0.500 0.000
Si2 0.000 0.500 0.500
Si3 0.500 0.000 0.000
Si4 0.500 0.000 0.500



Record 5
This record from the Alexandria database describes an optimized crystal structure of Ac4NdSi4. The functional is PBE.

Values from the calculation:
Calculated volume, Å³/f.u.: 287.1
Total magnetization, Bohr magnetons per cell: 0.00
Symmetry: No. 86
VASP energy, eV/atom: -5.167

Lattice parameters (Å, degrees): 9.505 9.505 6.355 90.00 90.00 90.00
Fractional coordinates of all 18 atoms:
Ac1 0.047 0.681 0.111
Ac2 0.181 0.953 0.611
Ac3 0.319 0.547 0.611
Ac4 0.453 0.819 0.111
Ac5 0.547 0.181 0.889
Ac6 0.681 0.453 0.389
Ac7 0.819 0.047 0.389
Ac8 0.953 0.319 0.889
Nd1 0.250 0.250 0.250
Nd2 0.750 0.750 0.750
Si1 0.003 0.390 0.402
Si2 0.110 0.003 0.098
Si3 0.390 0.497 0.098
Si4 0.497 0.110 0.402
Si5 0.503 0.890 0.598
Si6 0.610 0.503 0.902
Si7 0.890 0.997 0.902
Si8 0.997 0.610 0.598



Record 6
This record from the Alexandria database describes an optimized crystal structure of Ac2NdSi6. The functional is PBE.

Values from the calculation:
Calculated volume, Å³/f.u.: 204.0
Total magnetization, Bohr magnetons per cell: 0.00
Symmetry: No. 191
VASP energy, eV/atom: -5.591

Lattice parameters (Å, degrees): 7.296 7.296 4.425 90.00 90.00 120.00
Fractional coordinates of all 9 atoms:
Ac1 0.333 0.667 0.000
Ac2 0.667 0.333 0.000
Nd1 0.000 0.000 0.000
Si1 0.000 0.329 0.500
Si2 0.000 0.671 0.500
Si3 0.329 0.000 0.500
Si4 0.329 0.329 0.500
Si5 0.671 0.000 0.500
Si6 0.671 0.671 0.500



Record 7
This record from the Alexandria database describes an optimized crystal structure of Ac3NdSi7. The functional is PBE.

Values from the calculation:
Calculated volume, Å³/f.u.: 265.0
Total magnetization, Bohr magnetons per cell: 0.00
Symmetry: No. 63
VASP energy, eV/atom: -5.560

Lattice parameters (Å, degrees): 10.029 10.029 12.057 90.00 90.00 154.08
Fractional coordinates of all 22 atoms:
Ac1 0.106 0.894 0.549
Ac2 0.106 0.894 0.951
Ac3 0.248 0.752 0.250
Ac4 0.752 0.248 0.750
Ac5 0.894 0.106 0.049
Ac6 0.894 0.106 0.451
Nd1 0.047 0.953 0.250
Nd2 0.953 0.047 0.750
Si1 0.269 0.731 0.531
Si2 0.269 0.731 0.969
Si3 0.365 0.635 0.650
Si4 0.365 0.635 0.850
Si5 0.428 0.572 0.250
Si6 0.488 0.512 0.595
Si7 0.488 0.512 0.905
Si8 0.512 0.488 0.095
Si9 0.512 0.488 0.405
Si10 0.572 0.428 0.750
Si11 0.635 0.365 0.150
Si12 0.635 0.365 0.350
Si13 0.731 0.269 0.031
Si14 0.731 0.269 0.469



Record 8
This record from the Alexandria database describes an optimized crystal structure of Ac3NdSi6. The functional is PBE.

Values from the calculation:
Calculated volume, Å³/f.u.: 256.7
Total magnetization, Bohr magnetons per cell: 0.00
Symmetry: No. 167
VASP energy, eV/atom: -5.433

Lattice parameters (Å, degrees): 8.106 8.106 8.106 98.46 98.46 98.46
Fractional coordinates of all 20 atoms:
Ac1 0.189 0.750 0.311
Ac2 0.250 0.689 0.811
Ac3 0.311 0.189 0.750
Ac4 0.689 0.811 0.250
Ac5 0.750 0.311 0.189
Ac6 0.811 0.250 0.689
Nd1 0.000 0.000 0.000
Nd2 0.500 0.500 0.500
Si1 0.017 0.093 0.394
Si2 0.093 0.394 0.017
Si3 0.106 0.407 0.483
Si4 0.394 0.017 0.093
Si5 0.407 0.483 0.106
Si6 0.483 0.106 0.407
Si7 0.517 0.894 0.593
Si8 0.593 0.517 0.894
Si9 0.606 0.983 0.907
Si10 0.894 0.593 0.517
Si11 0.907 0.606 0.983
Si12 0.983 0.907 0.606



Record 9
This record from the Alexandria database describes an optimized crystal structure of AcNdSi. The functional is PBE.

Values from the calculation:
Calculated volume, Å³/f.u.: 95.0
Total magnetization, Bohr magnetons per cell: 0.00
Symmetry: No. 2
VASP energy, eV/atom: -5.152

Lattice parameters (Å, degrees): 4.303 6.546 7.529 77.08 73.44 70.83
Fractional coordinates of all 6 atoms:
Ac1 0.176 0.232 0.417
Ac2 0.824 0.768 0.583
Nd1 0.415 0.295 0.875
Nd2 0.585 0.705 0.125
Si1 0.107 0.935 0.852
Si2 0.893 0.065 0.148



Record 10
This record from the Alexandria database describes an optimized crystal structure of AcNdSi3. The functional is PBE.

Values from the calculation:
Calculated volume, Å³/f.u.: 118.1
Total magnetization, Bohr magnetons per cell: 0.00
Symmetry: No. 63
VASP energy, eV/atom: -5.676

Lattice parameters (Å, degrees): 12.831 12.831 4.061 90.00 90.00 159.32
Fractional coordinates of all 10 atoms:
Ac1 0.070 0.930 0.750
Ac2 0.930 0.070 0.250
Nd1 0.202 0.798 0.250
Nd2 0.798 0.202 0.750
Si1 0.323 0.677 0.250
Si2 0.379 0.621 0.750
Si3 0.475 0.525 0.750
Si4 0.525 0.475 0.250
Si5 0.621 0.379 0.250
Si6 0.677 0.323 0.750



Record 11
This record from the Alexandria database describes an optimized crystal structure of AcNdZnSi. The functional is PBE.

Values from the calculation:
Calculated volume, Å³/f.u.: 106.6
Total magnetization, Bohr magnetons per cell: 0.00
Symmetry: No. 216
VASP energy, eV/atom: -4.240

Lattice parameters (Å, degrees): 7.526 7.526 7.526 90.00 90.00 90.00
Fractional coordinates of all 16 atoms:
Ac1 0.000 0.000 0.000
Ac2 0.000 0.500 0.500
Ac3 0.500 0.000 0.500
Ac4 0.500 0.500 0.000
Nd1 0.000 0.000 0.500
Nd2 0.000 0.500 0.000
Nd3 0.500 0.000 0.000
Nd4 0.500 0.500 0.500
Zn1 0.250 0.250 0.750
Zn2 0.250 0.750 0.250
Zn3 0.750 0.250 0.250
Zn4 0.750 0.750 0.750
Si1 0.250 0.250 0.250
Si2 0.250 0.750 0.750
Si3 0.750 0.250 0.750
Si4 0.750 0.750 0.250



Record 12
This record from the Alexandria database describes an optimized crystal structure of Ac4Nd3Sm4. The functional is PBE.

Values from the calculation:
Calculated volume, Å³/f.u.: 418.0
Total magnetization, Bohr magnetons per cell: 0.00
Symmetry: No. 2
VASP energy, eV/atom: -4.476

Lattice parameters (Å, degrees): 3.802 5.277 21.085 97.13 95.10 90.07
Fractional coordinates of all 11 atoms:
Ac1 0.047 0.046 0.093
Ac2 0.318 0.318 0.635
Ac3 0.682 0.682 0.365
Ac4 0.953 0.954 0.907
Nd1 0.136 0.136 0.272
Nd2 0.500 0.500 0.000
Nd3 0.864 0.864 0.728
Sm1 0.228 0.228 0.457
Sm2 0.407 0.408 0.814
Sm3 0.593 0.592 0.186
Sm4 0.772 0.772 0.543